[1]
Crystalline TiMnTe at its relaxed geometry, computed with PBE.

Computed properties:
The value obtained for the energy relative to the elements, uncorrected is 2.69 kJ/mol of atoms. The value obtained for the size of the total moment is 0.131 μB per atom. The density of states at the Fermi level comes out at 3.2 states/eV/f.u.

a b c (Å): 3.5650 3.5664 8.1154
angles (deg): 85.85 83.65 88.68
Positions (direct):
Ti: 0.2275 0.2325 0.0947
Ti: 0.7725 0.7675 0.9053
Mn: 0.1889 0.1839 0.4506
Mn: 0.8111 0.8161 0.5494
Te: 0.3252 0.3001 0.7419
Te: 0.6748 0.6999 0.2581

---

[2]
Crystalline TiMnTe2 at its relaxed geometry, computed with PBE.

Computed properties:
The value obtained for the energy relative to the elements, uncorrected is 15.76 kJ/mol of atoms. The value obtained for the size of the total moment is 0.052 μB per atom. The density of states at the Fermi level comes out at 11.3 states/eV/f.u.

a b c (Å): 4.7064 4.7064 4.7064
angles (deg): 60.00 60.00 60.00
Positions (direct):
Ti: 0.0000 0.0000 0.0000
Mn: 0.5000 0.5000 0.5000
Te: 0.2500 0.2500 0.2500
Te: 0.7500 0.7500 0.7500

---

[3]
Crystalline Ti2MnTl2Te6 at its relaxed geometry, computed with PBE.

Computed properties:
The value obtained for the energy relative to the elements, uncorrected is -44.53 kJ/mol of atoms. The value obtained for the size of the total moment is 0.466 μB per atom. The density of states at the Fermi level comes out at 4.4 states/eV/f.u.

a b c (Å): 7.0022 7.0022 8.5629
angles (deg): 98.17 98.17 121.58
Positions (direct):
Ti: 0.1781 0.8219 0.0000
Ti: 0.8219 0.1781 0.0000
Mn: 0.5000 0.5000 0.0000
Tl: 0.3407 0.6593 0.5000
Tl: 0.6593 0.3407 0.5000
Te: 0.0939 0.4236 0.8004
Te: 0.2281 0.2281 0.1836
Te: 0.4236 0.0939 0.8004
Te: 0.5764 0.9061 0.1996
Te: 0.7719 0.7719 0.8164
Te: 0.9061 0.5764 0.1996

---

[4]
Crystalline Ti3MnTl3Te8 at its relaxed geometry, computed with PBE.

Computed properties:
The value obtained for the energy relative to the elements, uncorrected is -45.80 kJ/mol of atoms. The value obtained for the size of the total moment is 0.401 μB per atom. The density of states at the Fermi level comes out at 6.0 states/eV/f.u.

a b c (Å): 9.4878 9.4878 9.4878
angles (deg): 50.02 50.02 50.02
Positions (direct):
Ti: 0.0000 0.5000 0.5000
Ti: 0.5000 0.0000 0.5000
Ti: 0.5000 0.5000 0.0000
Mn: 0.0000 0.0000 0.0000
Tl: 0.0000 0.0000 0.5000
Tl: 0.0000 0.5000 0.0000
Tl: 0.5000 0.0000 0.0000
Te: 0.2310 0.2310 0.7301
Te: 0.2310 0.7301 0.2310
Te: 0.2676 0.2676 0.2676
Te: 0.2699 0.7690 0.7690
Te: 0.7301 0.2310 0.2310
Te: 0.7324 0.7324 0.7324
Te: 0.7690 0.2699 0.7690
Te: 0.7690 0.7690 0.2699

---

[5]
Crystalline TiMn2TeW at its relaxed geometry, computed with PBE.

Computed properties:
The value obtained for the energy relative to the elements, uncorrected is 102.65 kJ/mol of atoms. The value obtained for the size of the total moment is 0.974 μB per atom. The density of states at the Fermi level comes out at 5.2 states/eV/f.u.

a b c (Å): 4.6960 4.6960 4.8363
angles (deg): 90.00 90.00 90.00
Positions (direct):
Ti: 0.0000 0.0000 0.0000
Mn: 0.0000 0.5000 0.5000
Mn: 0.5000 0.0000 0.5000
Te: 0.5000 0.5000 0.0000
W: 0.0000 0.0000 0.5000

---

[6]
Crystalline TiMnTe2W at its relaxed geometry, computed with PBE.

Computed properties:
The value obtained for the energy relative to the elements, uncorrected is 146.07 kJ/mol of atoms. The value obtained for the size of the total moment is 0.013 μB per atom. The density of states at the Fermi level comes out at 6.7 states/eV/f.u.

a b c (Å): 5.2483 5.2483 4.7665
angles (deg): 90.00 90.00 90.00
Positions (direct):
Ti: 0.0000 0.0000 0.0000
Mn: 0.5000 0.5000 0.0000
Te: 0.0000 0.5000 0.5000
Te: 0.5000 0.0000 0.5000
W: 0.0000 0.0000 0.5000

---

[7]
Crystalline Mn2TlTe at its relaxed geometry, computed with PBE.

Computed properties:
The value obtained for the energy relative to the elements, uncorrected is 50.38 kJ/mol of atoms. The value obtained for the size of the total moment is 2.043 μB per atom. The density of states at the Fermi level comes out at 3.6 states/eV/f.u.

a b c (Å): 9.4063 9.4063 9.4063
angles (deg): 150.42 150.42 42.32
Positions (direct):
Mn: 0.1136 0.6250 0.9886
Mn: 0.3750 0.3636 0.4886
Mn: 0.6364 0.1250 0.0114
Mn: 0.8750 0.8864 0.5114
Tl: 0.2500 0.7500 0.5000
Tl: 0.5000 0.5000 0.0000
Te: 0.0000 0.0000 0.0000
Te: 0.7500 0.2500 0.5000

---

[8]
Crystalline Mn2TlTe at its relaxed geometry, computed with PBE.

Computed properties:
The value obtained for the energy relative to the elements, uncorrected is 40.21 kJ/mol of atoms. The value obtained for the size of the total moment is 1.939 μB per atom. The density of states at the Fermi level comes out at 3.3 states/eV/f.u.

a b c (Å): 3.8402 4.1981 5.3128
angles (deg): 90.00 90.00 90.00
Positions (direct):
Mn: 0.0000 0.0000 0.0000
Mn: 0.0000 0.5000 0.5000
Tl: 0.5000 0.0000 0.5000
Te: 0.5000 0.5000 0.0000

---

[9]
Crystalline Mn2TlTe at its relaxed geometry, computed with PBE.

Computed properties:
The value obtained for the energy relative to the elements, uncorrected is 80.22 kJ/mol of atoms. The value obtained for the size of the total moment is 0.000 μB per atom. The density of states at the Fermi level comes out at 8.7 states/eV/f.u.

a b c (Å): 4.5385 4.5385 4.5385
angles (deg): 60.00 60.00 60.00
Positions (direct):
Mn: 0.2500 0.2500 0.2500
Mn: 0.7500 0.7500 0.7500
Tl: 0.0000 0.0000 0.0000
Te: 0.5000 0.5000 0.5000

---

[10]
Crystalline Mn2TlTe at its relaxed geometry, computed with PBE.

Computed properties:
The value obtained for the energy relative to the elements, uncorrected is 38.88 kJ/mol of atoms. The value obtained for the size of the total moment is 1.888 μB per atom. The density of states at the Fermi level comes out at 3.0 states/eV/f.u.

a b c (Å): 3.5524 3.5524 6.6458
angles (deg): 90.00 90.00 90.00
Positions (direct):
Mn: 0.0000 0.0000 0.2151
Mn: 0.0000 0.0000 0.7849
Tl: 0.5000 0.5000 0.5000
Te: 0.5000 0.5000 0.0000

---

[11]
Crystalline Mn2TlTe at its relaxed geometry, computed with PBE.

Computed properties:
The value obtained for the energy relative to the elements, uncorrected is 29.50 kJ/mol of atoms. The value obtained for the size of the total moment is 1.846 μB per atom. The density of states at the Fermi level comes out at 3.4 states/eV/f.u.

a b c (Å): 4.0863 5.6321 5.6321
angles (deg): 40.54 90.00 90.00
Positions (direct):
Mn: 0.0000 0.0000 0.0000
Mn: 0.5000 0.1788 0.1788
Tl: 0.0000 0.7260 0.7260
Te: 0.5000 0.4542 0.4542

---

[12]
Crystalline Mn2TlTe at its relaxed geometry, computed with PBE.

Computed properties:
The value obtained for the energy relative to the elements, uncorrected is 33.89 kJ/mol of atoms. The value obtained for the size of the total moment is 1.822 μB per atom. The density of states at the Fermi level comes out at 2.6 states/eV/f.u.

a b c (Å): 6.4969 6.4969 6.4969
angles (deg): 150.65 139.47 50.82
Positions (direct):
Mn: 0.0000 0.0000 0.0000
Mn: 0.7975 0.2975 0.5000
Tl: 0.4593 0.4593 0.0000
Te: 0.1909 0.6909 0.5000

---

[13]
Crystalline MnTlTe3 at its relaxed geometry, computed with PBE.

Computed properties:
The value obtained for the energy relative to the elements, uncorrected is -10.64 kJ/mol of atoms. The value obtained for the size of the total moment is 0.560 μB per atom. The density of states at the Fermi level comes out at 2.2 states/eV/f.u.

a b c (Å): 9.6167 9.6167 6.5301
angles (deg): 90.00 90.00 87.13
Positions (direct):
Mn: 0.1683 0.8317 0.9180
Mn: 0.3317 0.6683 0.4180
Mn: 0.6683 0.3317 0.5820
Mn: 0.8317 0.1683 0.0820
Tl: 0.1796 0.3204 0.7500
Tl: 0.3204 0.1796 0.2500
Tl: 0.6796 0.8204 0.7500
Tl: 0.8204 0.6796 0.2500
Te: 0.0230 0.9770 0.2254
Te: 0.0911 0.6566 0.6153
Te: 0.1566 0.5911 0.1153
Te: 0.3434 0.9089 0.6153
Te: 0.4089 0.8434 0.1153
Te: 0.4770 0.5230 0.7254
Te: 0.5230 0.4770 0.2746
Te: 0.5911 0.1566 0.8847
Te: 0.6566 0.0911 0.3847
Te: 0.8434 0.4089 0.8847
Te: 0.9089 0.3434 0.3847
Te: 0.9770 0.0230 0.7746

---

[14]
Crystalline Mn2TlTe at its relaxed geometry, computed with PBE.

Computed properties:
The value obtained for the energy relative to the elements, uncorrected is 40.97 kJ/mol of atoms. The value obtained for the size of the total moment is 1.951 μB per atom. The density of states at the Fermi level comes out at 3.1 states/eV/f.u.

a b c (Å): 4.9199 4.9199 3.6700
angles (deg): 97.91 97.91 96.43
Positions (direct):
Mn: 0.0000 0.5000 0.0000
Mn: 0.5000 0.0000 0.0000
Tl: 0.0000 0.0000 0.5000
Te: 0.5000 0.5000 0.5000

---

[15]
Crystalline MnTlTe3 at its relaxed geometry, computed with PBE.

Computed properties:
The value obtained for the energy relative to the elements, uncorrected is 27.58 kJ/mol of atoms. The value obtained for the size of the total moment is 0.000 μB per atom. The density of states at the Fermi level comes out at 9.2 states/eV/f.u.

a b c (Å): 5.1827 5.1827 5.1827
angles (deg): 90.00 90.00 90.00
Positions (direct):
Mn: 0.0000 0.0000 0.0000
Tl: 0.5000 0.5000 0.5000
Te: 0.0000 0.0000 0.5000
Te: 0.0000 0.5000 0.0000
Te: 0.5000 0.0000 0.0000

---

[16]
Crystalline Mn2TlTe at its relaxed geometry, computed with PBE.

Computed properties:
The value obtained for the energy relative to the elements, uncorrected is 38.43 kJ/mol of atoms. The value obtained for the size of the total moment is 1.861 μB per atom. The density of states at the Fermi level comes out at 3.5 states/eV/f.u.

a b c (Å): 4.1045 3.4205 6.7917
angles (deg): 90.00 90.26 90.00
Positions (direct):
Mn: 0.0013 0.0000 0.1952
Mn: 0.9987 0.0000 0.8048
Tl: 0.5000 0.5000 0.0000
Te: 0.0000 0.5000 0.5000

---

[17]
Crystalline Mn2TlTe at its relaxed geometry, computed with PBE.

Computed properties:
The value obtained for the energy relative to the elements, uncorrected is 41.94 kJ/mol of atoms. The value obtained for the size of the total moment is 1.950 μB per atom. The density of states at the Fermi level comes out at 3.0 states/eV/f.u.

a b c (Å): 4.9014 4.9014 3.5667
angles (deg): 90.00 90.00 99.44
Positions (direct):
Mn: 0.0000 0.5000 0.0000
Mn: 0.5000 0.0000 0.0000
Tl: 0.0000 0.0000 0.5000
Te: 0.5000 0.5000 0.5000

---

[18]
Crystalline Mn2TlTe at its relaxed geometry, computed with PBE.

Computed properties:
The value obtained for the energy relative to the elements, uncorrected is 25.16 kJ/mol of atoms. The value obtained for the size of the total moment is 1.569 μB per atom. The density of states at the Fermi level comes out at 2.2 states/eV/f.u.

a b c (Å): 3.3698 3.3698 7.5962
angles (deg): 90.00 90.00 90.00
Positions (direct):
Mn: 0.0000 0.0000 0.0000
Mn: 0.5000 0.5000 0.1862
Tl: 0.5000 0.5000 0.7754
Te: 0.0000 0.0000 0.3589

---

[19]
Crystalline MnTl2Te2 at its relaxed geometry, computed with PBE.

Computed properties:
The value obtained for the energy relative to the elements, uncorrected is 17.20 kJ/mol of atoms. The value obtained for the size of the total moment is 0.000 μB per atom. The density of states at the Fermi level comes out at 3.2 states/eV/f.u.

a b c (Å): 6.6215 6.6215 6.3844
angles (deg): 90.00 90.00 90.00
Positions (direct):
Mn: 0.0000 0.0000 0.0000
Mn: 0.5000 0.5000 0.0000
Tl: 0.1925 0.3075 0.5000
Tl: 0.3075 0.8075 0.5000
Tl: 0.6925 0.1925 0.5000
Tl: 0.8075 0.6925 0.5000
Te: 0.1577 0.6577 0.0000
Te: 0.3423 0.1577 0.0000
Te: 0.6577 0.8423 0.0000
Te: 0.8423 0.3423 0.0000

---

[20]
Crystalline Mn5Tl3Te12 at its relaxed geometry, computed with PBE.

Computed properties:
The value obtained for the energy relative to the elements, uncorrected is -4.08 kJ/mol of atoms. The value obtained for the size of the total moment is 0.696 μB per atom. The density of states at the Fermi level comes out at 10.5 states/eV/f.u.

a b c (Å): 14.8334 14.8334 14.8334
angles (deg): 109.47 109.47 109.47
Positions (direct):
Mn: 0.0000 0.0000 0.0000
Mn: 0.0000 0.0000 0.5000
Mn: 0.0000 0.5000 0.0000
Mn: 0.0000 0.5000 0.5000
Mn: 0.1250 0.7500 0.8750
Mn: 0.1250 0.8750 0.2500
Mn: 0.2500 0.1250 0.8750
Mn: 0.2500 0.6250 0.3750
Mn: 0.3750 0.2500 0.6250
Mn: 0.3750 0.6250 0.7500
Mn: 0.5000 0.0000 0.0000
Mn: 0.5000 0.0000 0.5000
Mn: 0.5000 0.5000 0.0000
Mn: 0.5000 0.5000 0.5000
Mn: 0.6250 0.3750 0.2500
Mn: 0.6250 0.7500 0.3750
Mn: 0.7500 0.3750 0.6250
Mn: 0.7500 0.8750 0.1250
Mn: 0.8750 0.1250 0.7500
Mn: 0.8750 0.2500 0.1250
Tl: 0.1250 0.2500 0.3750
Tl: 0.1250 0.3750 0.7500
Tl: 0.2500 0.3750 0.1250
Tl: 0.2500 0.8750 0.6250
Tl: 0.3750 0.1250 0.2500
Tl: 0.3750 0.7500 0.1250
Tl: 0.6250 0.2500 0.8750
Tl: 0.6250 0.8750 0.7500
Tl: 0.7500 0.1250 0.3750
Tl: 0.7500 0.6250 0.8750
Tl: 0.8750 0.6250 0.2500
Tl: 0.8750 0.7500 0.6250
Te: 0.0184 0.1993 0.1082
Te: 0.0184 0.3191 0.9102
Te: 0.0898 0.6082 0.4089
Te: 0.0898 0.9816 0.6809
Te: 0.0911 0.6993 0.6809
Te: 0.0911 0.8918 0.4102
Te: 0.1082 0.0184 0.1993
Te: 0.1082 0.5898 0.9089
Te: 0.1809 0.1993 0.5911
Te: 0.1809 0.4816 0.5898
Te: 0.1993 0.1082 0.0184
Te: 0.1993 0.5911 0.1809
Te: 0.3007 0.3191 0.9089
Te: 0.3007 0.4816 0.3918
Te: 0.3191 0.9089 0.3007
Te: 0.3191 0.9102 0.0184
Te: 0.3918 0.3007 0.4816
Te: 0.3918 0.5911 0.9102
Te: 0.4089 0.0898 0.6082
Te: 0.4089 0.8191 0.8007
Te: 0.4102 0.0911 0.8918
Te: 0.4102 0.8191 0.5184
Te: 0.4816 0.3918 0.3007
Te: 0.4816 0.5898 0.1809
Te: 0.5184 0.4102 0.8191
Te: 0.5184 0.6082 0.6993
Te: 0.5898 0.1809 0.4816
Te: 0.5898 0.9089 0.1082
Te: 0.5911 0.1809 0.1993
Te: 0.5911 0.9102 0.3918
Te: 0.6082 0.4089 0.0898
Te: 0.6082 0.6993 0.5184
Te: 0.6809 0.0898 0.9816
Te: 0.6809 0.0911 0.6993
Te: 0.6993 0.5184 0.6082
Te: 0.6993 0.6809 0.0911
Te: 0.8007 0.4089 0.8191
Te: 0.8007 0.8918 0.9816
Te: 0.8191 0.5184 0.4102
Te: 0.8191 0.8007 0.4089
Te: 0.8918 0.4102 0.0911
Te: 0.8918 0.9816 0.8007
Te: 0.9089 0.1082 0.5898
Te: 0.9089 0.3007 0.3191
Te: 0.9102 0.0184 0.3191
Te: 0.9102 0.3918 0.5911
Te: 0.9816 0.6809 0.0898
Te: 0.9816 0.8007 0.8918